VASP calculation (PBE) on a relaxed CoAgS2 crystal.

For the total magnetic moment, the calculation gives 1.1 μB per cell. The value obtained for the density of states at the Fermi level is 4.87 states/eV/cell. The formation energy without anion corrections comes out at 0.497 eV per atom. The total energy comes out at -16.2 eV/cell. The crystal system is tetragonal.

The structure belongs to space group P4/mmm (No. 123); the cell edges are 4.3932, 4.3932 and 3.0938 Å and the angles 90.00°, 90.00° and 90.00°. The distinct sites, in fractional coordinates, are Co at (0.0000, 0.0000, 0.0000), Ag at (0.5000, 0.5000, 0.0000) and S at (0.0000, 0.5000, 0.5000).

VASP calculation (PBE) on a relaxed CoAgS2 crystal.

For the total magnetic moment, the calculation gives 0.0 μB per cell. The value obtained for the density of states at the Fermi level is 0.00 states/eV/cell. The formation energy without anion corrections comes out at -0.224 eV per atom. The total energy comes out at -19.1 eV/cell. The crystal system is trigonal.

The structure belongs to space group P3m1 (No. 156); the cell edges are 3.3448, 3.3448 and 6.8621 Å and the angles 90.00°, 90.00° and 120.00°. The distinct sites, in fractional coordinates, are Co at (0.0000, 0.0000, 0.0000), Ag at (0.3333, 0.6667, 0.4790), S at (0.3333, 0.6667, 0.8374) and S at (0.6667, 0.3333, 0.1795).